Na8Tl2Cd: relaxed, PBE-GGA.

Summary:
VASP energy: -1.441 eV/atom
V: 35.97 Å³ per atom

Lattice parameters (Å, degrees): 12.647 11.331 5.699 90.00 104.31 90.00
Space group C2/m (No. 12)
Symmetry-distinct sites (fractional):
Na1 0.091 0.000 0.303 [4 per cell]
Na2 0.092 0.258 0.801 [8 per cell]
Na3 0.242 0.000 0.893 [4 per cell]
Tl1 0.133 0.500 0.529 [4 per cell]
Cd1 0.000 0.500 0.000 [2 per cell]


LuAg4Sb: relaxed, PBE-GGA.

Summary:
Energy relative to the elements, uncorrected: -0.1322 eV per atom
VASP energy: -3.474 eV/atom
V: 20.96 Å³ per atom

Lattice parameters (Å, degrees): 7.954 7.954 7.954 90.00 90.00 90.00
Space group F-43m (No. 216)
Symmetry-distinct sites (fractional):
Lu1 0.000 0.000 0.000 [4 per cell]
Ag1 0.125 0.125 0.625 [16 per cell]
Sb1 0.250 0.250 0.250 [4 per cell]


NbV2I: relaxed, PBE-GGA.

Summary:
Energy relative to the elements, uncorrected: 0.7082 eV per atom
VASP energy: -6.756 eV/atom
V: 16.56 Å³ per atom

Lattice parameters (Å, degrees): 6.423 6.423 6.423 90.00 90.00 90.00
Space group Fm-3m (No. 225)
Symmetry-distinct sites (fractional):
Nb1 0.000 0.000 0.000 [4 per cell]
V1 0.250 0.250 0.250 [8 per cell]
I1 0.000 0.000 0.500 [4 per cell]


La2HoEr4Tm: relaxed, PBE-GGA.

Summary:
VASP energy: -4.610 eV/atom
V: 32.14 Å³ per atom

Lattice parameters (Å, degrees): 7.175 9.984 7.178 90.00 90.05 90.00
Space group P2/m (No. 10)
Symmetry-distinct sites (fractional):
La1 0.000 0.000 0.000 [1 per cell]
La2 0.000 0.000 0.500 [1 per cell]
La3 0.000 0.500 0.000 [1 per cell]
La4 0.500 0.000 0.000 [1 per cell]
Ho1 0.000 0.500 0.500 [1 per cell]
Ho2 0.500 0.000 0.500 [1 per cell]
Er1 0.254 0.255 0.254 [4 per cell]
Er2 0.254 0.255 0.746 [4 per cell]
Tm1 0.500 0.500 0.000 [1 per cell]
Tm2 0.500 0.500 0.500 [1 per cell]


Pm3Ho3Er8: relaxed, PBE-GGA.

Summary:
VASP energy: -4.495 eV/atom
V: 32.05 Å³ per atom

Lattice parameters (Å, degrees): 5.605 10.730 14.922 90.00 90.00 90.00
Space group Immm (No. 71)
Symmetry-distinct sites (fractional):
Pm1 0.000 0.000 0.000 [2 per cell]
Pm2 0.000 0.500 0.317 [4 per cell]
Ho1 0.000 0.000 0.500 [2 per cell]
Ho2 0.000 0.296 0.500 [4 per cell]
Er1 0.000 0.160 0.279 [8 per cell]
Er2 0.000 0.342 0.103 [8 per cell]


TbCe2TmTl4: relaxed, PBE-GGA.

Summary:
VASP energy: -4.076 eV/atom
V: 28.40 Å³ per atom

Lattice parameters (Å, degrees): 5.4322 5.4322 26.6672 90.00 90.00 120.00
Space group R-3m (No. 166, hexagonal axes)
Symmetry-distinct sites (fractional):
Tb1 0.0000 0.0000 0.0000 [3 per cell]
Ce1 0.0000 0.0000 0.2495 [6 per cell]
Tm1 0.0000 0.0000 0.5000 [3 per cell]
Tl1 0.0000 0.0000 0.1254 [6 per cell]
Tl2 0.0000 0.0000 0.3754 [6 per cell]


ZrScH2Br: relaxed, PBE-GGA.

Summary:
VASP energy: -3.698 eV/atom
V: 18.34 Å³ per atom

Lattice parameters (Å, degrees): 4.067 4.067 5.543 90.00 90.00 90.00
Space group P4/mmm (No. 123)
Symmetry-distinct sites (fractional):
Zr1 0.000 0.000 0.000 [1 per cell]
Sc1 0.500 0.500 0.000 [1 per cell]
H1 0.000 0.500 0.500 [2 per cell]
Br1 0.000 0.000 0.500 [1 per cell]


Hf2PaHg: relaxed, PBE-GGA.

Summary:
VASP energy: -7.143 eV/atom
V: 23.14 Å³ per atom

Lattice parameters (Å, degrees): 3.1059 3.1059 33.2392 90.00 90.00 120.00
Space group R-3m (No. 166, hexagonal axes)
Symmetry-distinct sites (fractional):
Hf1 0.0000 0.0000 0.0908 [6 per cell]
Pa1 0.0000 0.0000 0.0000 [3 per cell]
Hg1 0.0000 0.0000 0.5000 [3 per cell]


> Among the records above, which one has the highest V?

Na8Tl2Cd